[1]
Here is a relaxed structure of Nd2AlCo2Ni5 from Alexandria via LeMat-Bulk. Energies are from PBE.

Properties
* formation enthalpy at 0 K: -0.14 eV/atom
* magnetic moment: 0.229 μB per atom

Structure (POSCAR):
```
Nd2AlCo2Ni5
1.0
8.961 0.000 0.000
0.000 8.961 0.000
0.000 0.000 3.742
Nd Al Co Ni
4 2 4 10
Direct
0.180 0.320 0.000
0.320 0.820 0.000
0.680 0.180 0.000
0.820 0.680 0.000
0.000 0.000 0.000
0.500 0.500 0.000
0.118 0.618 0.000
0.382 0.118 0.000
0.618 0.882 0.000
0.882 0.382 0.000
0.000 0.500 0.500
0.058 0.796 0.500
0.204 0.058 0.500
0.296 0.558 0.500
0.442 0.296 0.500
0.500 0.000 0.500
0.558 0.704 0.500
0.704 0.442 0.500
0.796 0.942 0.500
0.942 0.204 0.500
```

***

[2]
Here is a relaxed structure of Tb7MgSc3 from Alexandria via LeMat-Bulk. Energies are from PBE.

Properties
* formation enthalpy at 0 K: 0.22 eV/atom
* magnetic moment: 0.000 μB per atom

Structure (POSCAR):
```
Tb7MgSc3
1.0
6.879 0.000 0.000
-3.440 5.958 0.000
0.000 0.000 8.226
Tb Mg Sc
7 1 3
Direct
0.000 0.000 0.000
0.001 0.500 0.006
0.328 0.164 0.657
0.500 0.500 0.006
0.500 0.999 0.006
0.836 0.164 0.657
0.836 0.672 0.657
0.333 0.667 0.656
0.166 0.332 0.330
0.166 0.834 0.330
0.668 0.834 0.330
```

***

[3]
Here is a relaxed structure of SrLiCd2In2 from Alexandria via LeMat-Bulk. Energies are from PBE.

Properties
* formation enthalpy at 0 K: -0.29 eV/atom
* magnetic moment: 0.000 μB per atom

Structure (POSCAR):
```
SrLiCd2In2
1.0
4.928 0.000 0.000
-2.464 4.268 0.000
0.000 0.000 7.605
Sr Li Cd In
1 1 2 2
Direct
0.000 0.000 0.000
0.000 0.000 0.500
0.333 0.667 0.696
0.667 0.333 0.304
0.333 0.667 0.287
0.667 0.333 0.713
```